MgScTi2N after structural relaxation, computed with PBE-GGA.

a = 4.2227 Å, b = 4.2227 Å, c = 4.4565 Å
α = 90.00°, β = 90.00°, γ = 90.00°
With the nearest neighbours (Å) after each atom.
Fractional coordinates of all 5 atoms:
Sc  0.0000  0.0000  0.5000  2 N 2.23
Mg  0.5000  0.5000  0.5000  4 Sc 2.99, 8 Ti 3.07
N  0.0000  0.0000  0.0000  4 Ti 2.11, 2 Sc 2.23
Ti  0.0000  0.5000  0.0000  2 N 2.11
Ti  0.5000  0.0000  0.0000  2 N 2.11

Properties
calculated volume: 15.89 Å³/atom
formation energy from raw total energies: -722.4 meV/atom